(1)
Entry from the Alexandria database: a geometry-optimized Li2Th2Pd3 structure (PBE-GGA).

As for the formation energy: -504 meV/atom. Its magnetic moment is 0.00 μB/f.u. For the volume, the calculation gives 21.74 Å³ per atom.

Cell lengths 14.8964, 3.9954, 12.1719 Å; angles 90.00, 122.84, 90.00 degrees
Last column: nearest neighbours and their distance in Å.
Space group C2/m (No. 12)
Inequivalent atoms, fractional coordinates:
Li: 0.0367 0.0000 0.3237 (multiplicity 4)  4 Pd 2.59-2.77, 2 Li 2.79
Li: 0.0863 0.5000 0.6607 (multiplicity 4)  4 Pd 2.55-2.66, 2 Li 2.79
Th: 0.1073 0.5000 0.9521 (multiplicity 4)  7 Pd 2.88-3.18
Th: 0.2271 0.5000 0.3371 (multiplicity 4)  6 Pd 2.87-3.08
Pd: 0.0860 0.0000 0.1342 (multiplicity 4)  1 Li 2.77, 1 Pd 2.86, 2 Th 2.98
Pd: 0.1260 0.5000 0.4817 (multiplicity 4)  4 Li 2.55-2.66
Pd: 0.1745 0.0000 0.8292 (multiplicity 4)  3 Li 2.65, 1 Th 2.88

---

(2)
Entry from the Alexandria database: a geometry-optimized LiTh4Pd15 structure (PBE-GGA).

As for the formation energy: -830 meV/atom. Its magnetic moment is 0.00 μB/f.u. For the volume, the calculation gives 18.02 Å³ per atom.

Cell lengths 4.2042, 4.2042, 20.3914 Å; angles 90.00, 90.00, 90.00 degrees
Last column: nearest neighbours and their distance in Å.
Space group P4/mmm (No. 123)
Inequivalent atoms, fractional coordinates:
Li: 0.0000 0.0000 0.0000 (multiplicity 1)  12 Pd 2.79-2.97
Th: 0.0000 0.0000 0.1838 (multiplicity 2)  12 Pd 2.85-3.09
Th: 0.0000 0.0000 0.3948 (multiplicity 2)  12 Pd 2.93-3.00
Pd: 0.0000 0.5000 0.0897 (multiplicity 4)  2 Li 2.79, 8 Pd 2.79-2.99, 2 Th 2.85
Pd: 0.0000 0.5000 0.2946 (multiplicity 4)  4 Th 2.93-3.09, 8 Pd 2.94-2.98
Pd: 0.0000 0.5000 0.5000 (multiplicity 2)  8 Pd 2.96-2.97, 4 Th 3.00
Pd: 0.5000 0.5000 0.0000 (multiplicity 1)  8 Pd 2.79, 4 Li 2.97
Pd: 0.5000 0.5000 0.1939 (multiplicity 2)  8 Pd 2.94-2.99, 4 Th 2.98
Pd: 0.5000 0.5000 0.3979 (multiplicity 2)  8 Pd 2.96-2.98, 4 Th 2.97

---

(3)
Entry from the Alexandria database: a geometry-optimized Li3ThPd6 structure (PBE-GGA).

As for the formation energy: -502 meV/atom. Its magnetic moment is 0.00 μB/f.u. For the volume, the calculation gives 16.00 Å³ per atom. The calculation puts the excess energy over the best structure of this formula in the dataset at 51.0 meV/atom.

Cell lengths 8.2422, 11.0908, 7.0008 Å; angles 90.00, 90.00, 90.00 degrees
Last column: nearest neighbours and their distance in Å.
Space group Cmc2_1 (No. 36)
Inequivalent atoms, fractional coordinates:
Li: 0.0000 0.0297 0.0000 (multiplicity 4)  6 Pd 2.52-2.64, 2 Li 2.64
Li: 0.2034 0.4523 0.0713 (multiplicity 8)  7 Pd 2.40-2.65, 1 Li 2.64
Th: 0.0000 0.2711 0.6108 (multiplicity 4)  7 Pd 2.88-3.20
Pd: 0.0000 0.2839 0.0770 (multiplicity 4)  2 Li 2.51, 2 Pd 2.76
Pd: 0.0000 0.4953 0.8187 (multiplicity 4)  4 Li 2.48
Pd: 0.1745 0.1136 0.2787 (multiplicity 8)  4 Li 2.40-2.64
Pd: 0.2348 0.1512 0.8740 (multiplicity 8)  3 Li 2.46-2.65

---

(4)
Entry from the Alexandria database: a geometry-optimized Li2ThPd6 structure (PBE-GGA).

As for the formation energy: -483 meV/atom. Its magnetic moment is 0.00 μB/f.u. For the volume, the calculation gives 17.02 Å³ per atom.

Cell lengths 4.6458, 7.6538, 8.6165 Å; angles 90.00, 90.00, 90.00 degrees
Last column: nearest neighbours and their distance in Å.
Space group Immm (No. 71)
Inequivalent atoms, fractional coordinates:
Li: 0.0000 0.0000 0.1461 (multiplicity 4)  1 Li 2.52, 6 Pd 2.53-2.74
Th: 0.0000 0.0000 0.5000 (multiplicity 2)  8 Pd 2.83-2.84, 2 Li 3.05
Pd: 0.0000 0.2870 0.0000 (multiplicity 4)  2 Li 2.53, 2 Pd 2.79
Pd: 0.0000 0.3121 0.3232 (multiplicity 8)  3 Li 2.74-2.83, 7 Pd 2.79-3.05, 1 Th 2.83